Compound: FeBi3O
Source: Alexandria
Functional: PBE+U
Structure: optimized geometry

a b c (Å): 4.9222 4.9222 4.9222
angles (deg): 90.00 90.00 90.00
Positions (direct):
1 Fe 0.0000 0.0000 0.0000
2 Bi 0.0000 0.5000 0.5000
3 Bi 0.5000 0.0000 0.5000
4 Bi 0.5000 0.5000 0.0000
5 O 0.5000 0.5000 0.5000

## Properties
V: 119.3 Å³/f.u.
VASP energy: -4.069 eV per atom
Spin magnetization: 0.736 μB/atom
DOS(E_F): 1.13 states/eV per atom
SG: Pm-3m